This record from Alexandria describes a relaxed HfScPd2 crystal. The functional is PBE.

Lattice parameters (Å, degrees): 4.8076 4.8076 3.1535 90.00 90.00 90.00
Space group P4/mmm (No. 123)
Symmetry-distinct sites (fractional):
Hf 0.0000 0.0000 0.0000
Sc 0.5000 0.5000 0.0000
Pd 0.0000 0.5000 0.5000

For the total magnetization, the calculation gives 0.000 μB per atom. Its energy is -7.4274 eV/atom. The calculation puts the formation energy at -3.0 eV/f.u. For the density of states at the Fermi level, the calculation gives 2.44 states/eV per cell. The crystal system is tetragonal.



This record from Alexandria describes a relaxed Ho2Sn2Rh3 crystal. The functional is PBE.

Lattice parameters (Å, degrees): 8.0738 4.6685 8.1383 90.00 109.27 90.00
Space group C2/m (No. 12)
Symmetry-distinct sites (fractional):
Ho 0.1225 0.0000 0.3668
Sn 0.1185 0.5000 0.8557
Rh 0.0000 0.0000 0.0000
Rh 0.2412 0.5000 0.2235

For the total magnetization, the calculation gives 0.000 μB per atom. Its energy is -6.2733 eV/atom. The calculation puts the formation energy at -4.7 eV/f.u. For the density of states at the Fermi level, the calculation gives 5.00 states/eV per cell. The crystal system is monoclinic.



This record from Alexandria describes a relaxed Ce2DyTl4 crystal. The functional is PBE.

Lattice parameters (Å, degrees): 7.6246 7.6246 7.6531 90.00 90.00 90.00
Space group I4/mmm (No. 139)
Symmetry-distinct sites (fractional):
Ce 0.0000 0.5000 0.0000
Dy 0.0000 0.0000 0.0000
Tl 0.2500 0.2500 0.2500

For the total magnetization, the calculation gives 0.392 μB per atom. Its energy is -3.8371 eV/atom. The calculation puts the formation energy at -0.9 eV/f.u. For the density of states at the Fermi level, the calculation gives 35.08 states/eV per cell. The crystal system is tetragonal. As for the energy relative to the lowest polymorph listed for this composition: 0.00 eV/f.u.



What is the energy in the second record?
-6.2733 eV/atom



Among the records above, which one has the highest energy?
Ce2DyTl4



What did the second record say?
This record from Alexandria describes a relaxed Ho2Sn2Rh3 crystal. The functional is PBE.

Lattice parameters (Å, degrees): 8.0738 4.6685 8.1383 90.00 109.27 90.00
Space group C2/m (No. 12)
Symmetry-distinct sites (fractional):
Ho 0.1225 0.0000 0.3668
Sn 0.1185 0.5000 0.8557
Rh 0.0000 0.0000 0.0000
Rh 0.2412 0.5000 0.2235

For the total magnetization, the calculation gives 0.000 μB per atom. Its energy is -6.2733 eV/atom. The calculation puts the formation energy at -4.7 eV/f.u. For the density of states at the Fermi level, the calculation gives 5.00 states/eV per cell. The crystal system is monoclinic.